# 1
Ca2BeCu, relaxed, DFT PBEsol; ΔE_f = 33.7 kJ per mole of atoms
1.0
-2.112 -0.281 4.224
2.518 -1.170 3.831
0.906 3.248 3.318
Cu Ca Be
1 2 1
Direct
0.750 0.750 0.750
0.000 0.000 0.000
0.250 0.250 0.250
0.500 0.500 0.500

# 2
Ta5Mo3, relaxed, DFT PBEsol; energy relative to the lowest polymorph listed for this composition = 0.0118 eV per atom; ΔE_f = -11.6 kJ per mole of atoms
1.0
-1.351 -5.009 -1.224
3.938 -1.455 3.310
-2.937 2.525 3.685
Ta Mo
5 3
Direct
0.740 0.992 0.257
0.000 0.500 0.500
0.260 0.008 0.743
0.868 0.245 0.877
0.132 0.755 0.123
0.625 0.744 0.629
0.500 0.500 0.000
0.375 0.256 0.371

# 3
TaReBr, relaxed, DFT PBEsol; energy relative to the lowest polymorph listed for this composition = 0.7242 eV per atom; formation energy without anion corrections = 1.23 eV per atom
1.0
4.363 0.000 0.000
2.181 3.778 0.000
2.181 1.259 3.562
Br Re Ta
1 1 1
Direct
0.000 0.000 0.000
0.500 0.500 0.500
0.250 0.250 0.250

| no. | density of states at the Fermi level (states/eV/f.u.) | energy (eV for the cell shown) |
| --- | --- | --- |
| 1 | 3.9 | -11.2 |
| 2 | 6.8 | -99.0 |
| 3 | 3.6 | -24.1 |